No. 1
This record from the Alexandria database describes a relaxed structure of LiV2I6. The functional is PBE.

For the electronic total energy, the calculation gives -3.900 eV per atom. As for the total moment: 10.00 μB/cell.

The structure belongs to space group C2/m (No. 12); the cell edges are 15.9263, 4.0875 and 10.8992 Å and the angles 90.00°, 113.23° and 90.00°. The asymmetric unit holds Li at (0.0000, 0.0000, 0.0000), V at (0.1606, 0.5000, 0.3286), I at (0.0335, 0.0000, 0.2933), I at (0.1424, 0.5000, 0.0694) and I at (0.2040, 0.5000, 0.6091).

No. 2
This record from the Alexandria database describes a relaxed structure of Li2VI. The functional is PBE.

For the electronic total energy, the calculation gives -3.184 eV per atom. As for the total moment: 20.10 μB/cell.

The structure belongs to space group Fm-3m (No. 225); the cell edges are 7.0609, 7.0609 and 7.0609 Å and the angles 90.00°, 90.00° and 90.00°. The asymmetric unit holds Li at (0.2500, 0.2500, 0.2500), V at (0.0000, 0.0000, 0.0000) and I at (0.0000, 0.0000, 0.5000).